[1]
The following is a DFT calculation (PBE) of a geometry-optimized TbPaOs structure.

abc: 4.451 4.456 4.456
angles: 120.00 90.00 90.00
Fractional coordinates of all 3 atoms:
Tb  0.685  0.667  0.333
Pa  0.210  0.333  0.667
Os  0.105  0.000  0.000

Computed properties:
E_form (eV per formula unit): 0.3
Volume (Å³ per atom): 25.52
DFT total energy (eV/atom): -8.36

=====

[2]
The following is a DFT calculation (PBE) of a geometry-optimized NpNi3As3 structure.

abc: 6.386 6.386 6.386
angles: 90.00 90.00 90.00
Site moments in Bohr magnetons follow the coordinates.
Fractional coordinates of all 14 atoms:
Np  0.500  0.500  0.500  4.13
Np  0.000  0.000  0.000  4.13
Ni  0.250  0.000  0.500  -0.02
Ni  0.000  0.500  0.250  -0.02
Ni  0.500  0.750  0.000  -0.02
Ni  0.750  0.000  0.500  -0.02
Ni  0.000  0.500  0.750  -0.02
Ni  0.500  0.250  0.000  -0.02
As  0.000  0.250  0.500  -0.02
As  0.000  0.750  0.500  -0.02
As  0.500  0.000  0.750  -0.02
As  0.750  0.500  0.000  -0.02
As  0.500  0.000  0.250  -0.02
As  0.250  0.500  0.000  -0.02

Computed properties:
E_form (eV per formula unit): -1.0
Volume (Å³ per atom): 18.61
DFT total energy (eV/atom): -6.47

=====

[3]
The following is a DFT calculation (PBE) of a geometry-optimized Pu5Ru4Rh structure.

abc: 3.335 3.335 17.484
angles: 90.00 90.00 90.00
Site moments in Bohr magnetons follow the coordinates.
Fractional coordinates of all 10 atoms:
Pu  0.500  0.500  0.102  4.98
Pu  0.500  0.500  0.301  4.92
Pu  0.500  0.500  0.500  4.91
Pu  0.500  0.500  0.699  4.92
Pu  0.500  0.500  0.898  4.98
Ru  0.000  0.000  0.201  -0.70
Ru  0.000  0.000  0.401  -0.73
Ru  0.000  0.000  0.599  -0.73
Ru  0.000  0.000  0.799  -0.70
Rh  0.000  0.000  0.000  -0.32

Computed properties:
E_form (eV per formula unit): -2.0
Volume (Å³ per atom): 19.45
DFT total energy (eV/atom): -11.81

=====

[4]
The following is a DFT calculation (PBE) of a geometry-optimized Ac3Pm2PuTe6 structure.

abc: 4.566 9.247 10.287
angles: 103.34 102.82 90.00
Site moments in Bohr magnetons follow the coordinates.
Fractional coordinates of all 12 atoms:
Ac  0.500  0.500  0.000  0.01
Ac  0.833  0.167  0.666  0.01
Ac  0.167  0.833  0.334  0.01
Pm  0.835  0.670  0.669  0.02
Pm  0.165  0.330  0.331  0.02
Pu  0.500  0.000  0.000  5.59
Te  0.338  0.909  0.676  -0.01
Te  0.671  0.573  0.342  0.00
Te  0.662  0.091  0.324  -0.01
Te  0.003  0.238  0.006  -0.03
Te  0.997  0.762  0.994  -0.03
Te  0.329  0.427  0.658  0.00

Computed properties:
Volume (Å³ per atom): 34.29
DFT total energy (eV/atom): -5.99

=====

[5]
The following is a DFT calculation (PBE) of a geometry-optimized Eu2NiH4 structure.

abc: 3.590 3.590 7.308
angles: 104.22 104.22 90.00
Site moments in Bohr magnetons follow the coordinates.
Fractional coordinates of all 7 atoms:
Eu  0.635  0.635  0.269  6.89
Eu  0.365  0.365  0.731  6.89
Ni  0.000  0.000  0.000  -0.10
H  0.873  0.873  0.746  -0.01
H  0.127  0.127  0.254  -0.01
H  0.000  0.500  0.000  -0.01
H  0.500  0.000  0.000  -0.01

Computed properties:
Volume (Å³ per atom): 12.62
DFT total energy (eV/atom): -6.10

=====

[6]
The following is a DFT calculation (PBE) of a geometry-optimized Mo2IrRu2 structure.

abc: 4.764 4.795 3.888
angles: 65.97 65.96 80.74
Fractional coordinates of all 5 atoms:
Mo  0.794  0.113  0.797
Mo  0.206  0.887  0.203
Ir  0.000  0.500  0.000
Ru  0.405  0.302  0.397
Ru  0.595  0.698  0.603

Computed properties:
E_form (eV per formula unit): -0.2
Volume (Å³ per atom): 14.82
DFT total energy (eV/atom): -9.85

=====

[7]
The following is a DFT calculation (PBE) of a geometry-optimized Tb8CeY5 structure.

abc: 8.454 8.454 8.454
angles: 111.79 104.93 111.79
Site moments in Bohr magnetons follow the coordinates.
Fractional coordinates of all 14 atoms:
Tb  0.166  0.734  0.072  0.07
Tb  0.928  0.093  0.661  0.07
Tb  0.721  0.253  0.326  0.00
Tb  0.674  0.395  0.927  0.00
Tb  0.532  0.605  0.279  0.00
Tb  0.568  0.907  0.834  0.07
Tb  0.339  0.266  0.432  0.07
Tb  0.073  0.747  0.468  0.00
Ce  0.250  0.500  0.750  1.00
Y  0.040  0.322  0.135  0.00
Y  0.865  0.905  0.187  0.00
Y  0.813  0.678  0.718  0.00
Y  0.500  0.000  0.500  -0.03
Y  0.282  0.095  0.960  0.00

Computed properties:
E_form (eV per formula unit): 3.8
Volume (Å³ per atom): 33.07
DFT total energy (eV/atom): -5.11

=====

[8]
The following is a DFT calculation (PBE) of a geometry-optimized ErThRh structure.

abc: 3.596 3.596 6.245
angles: 106.73 106.73 90.00
Fractional coordinates of all 3 atoms:
Rh  0.657  0.657  0.314
Th  0.027  0.027  0.054
Er  0.316  0.316  0.632

Computed properties:
E_form (eV per formula unit): -1.5
Volume (Å³ per atom): 24.59
DFT total energy (eV/atom): -6.95

=====

Which value of DFT total energy does entry 2 give? -6.47 eV/atom

=====

Look up the DFT total energy of the third one. -11.81 eV/atom